(1)
First-principles (PBE) data for Y3Th2Sc3 after structural relaxation, as listed in the Alexandria database.

a = 9.2659 Å, b = 9.2659 Å, c = 9.5790 Å
α = 90.00°, β = 90.00°, γ = 120.00°
Closest atoms and distances in Å follow each position.
Space group R32 (No. 155, hexagonal axes)
Symmetry-distinct sites (fractional):
Y 0.0000 0.2774 0.0000 (multiplicity 9)  2 Sc 3.19, 2 Y 3.32, 2 Th 3.43
Th 0.0000 0.0000 0.2717 (multiplicity 6)  6 Y 3.43-3.66, 6 Sc 3.43-3.50
Sc 0.0000 0.7052 0.5000 (multiplicity 9)  2 Y 3.19, 2 Sc 3.25, 4 Th 3.43-3.50

Formation energy, eV per atom: 0.16
Crystal system: trigonal
Electronic total energy, eV per atom: -6.50
Magnetic moment, μB per formula unit: 0.00
DOS(E_F), states/eV/f.u.: 15.070


(2)
First-principles (PBE) data for Nb2Ge2Br after structural relaxation, as listed in the Alexandria database.

a = 7.5849 Å, b = 7.5849 Å, c = 3.2330 Å
α = 90.00°, β = 90.00°, γ = 90.00°
Closest atoms and distances in Å follow each position.
Space group P4/mbm (No. 127)
Symmetry-distinct sites (fractional):
Nb 0.1715 0.3285 0.0000 (multiplicity 4)  6 Ge 2.74-2.78
Ge 0.1220 0.6220 0.5000 (multiplicity 4)  1 Ge 2.62, 6 Nb 2.74-2.78
Br 0.0000 0.0000 0.5000 (multiplicity 2)  4 Ge 3.01, 2 Br 3.23, 8 Nb 3.24

Uncorrected formation energy, eV/f.u.: 1.0
Crystal system: tetragonal
Electronic total energy, eV per atom: -6.00
Magnetic moment, μB per formula unit: 0.00
DOS(E_F), states/eV/f.u.: 3.068


(3)
First-principles (PBE) data for Cs2OsBr6N after structural relaxation, as listed in the Alexandria database.

a = 7.9057 Å, b = 7.9057 Å, c = 11.2014 Å
α = 90.00°, β = 90.00°, γ = 90.00°
Closest atoms and distances in Å follow each position.
Space group I4/mmm (No. 139)
Symmetry-distinct sites (fractional):
Cs 0.0000 0.5000 0.2500 (multiplicity 4)  12 Br 3.96-3.97
Os 0.0000 0.0000 0.0000 (multiplicity 2)  6 Br 2.51-2.52
Br 0.0000 0.0000 0.2245 (multiplicity 4)  1 Os 2.51
Br 0.2250 0.2250 0.0000 (multiplicity 8)  1 Os 2.52
N 0.0000 0.0000 0.5000 (multiplicity 2)  6 Br 3.07-3.09

Uncorrected formation energy, eV/f.u.: -3.2
Crystal system: tetragonal
Electronic total energy, eV per atom: -3.45
Magnetic moment, μB per formula unit: 5.00
DOS(E_F), states/eV/f.u.: 12.397


(4)
First-principles (PBE) data for Zn5Ga8Ag after structural relaxation, as listed in the Alexandria database.

a = 7.8591 Å, b = 7.8591 Å, c = 8.2741 Å
α = 90.00°, β = 90.00°, γ = 90.00°
Closest atoms and distances in Å follow each position.
Space group I-4 (No. 82)
Symmetry-distinct sites (fractional):
Zn 0.0000 0.0000 0.0000 (multiplicity 2)  8 Ga 2.69-2.72
Zn 0.1115 0.8041 0.5851 (multiplicity 8)  7 Ga 2.72-2.92, 2 Zn 2.87
Ga 0.0585 0.6668 0.9288 (multiplicity 8)  4 Zn 2.72-2.92, 4 Ga 2.78-2.98, 1 Ag 3.00
Ga 0.1131 0.8201 0.2546 (multiplicity 8)  1 Ag 2.67, 5 Zn 2.69-2.82, 3 Ga 2.96-2.98
Ag 0.0000 0.5000 0.2500 (multiplicity 2)  4 Ga 2.67

Formation energy, eV per atom: 0.08
Crystal system: tetragonal
Electronic total energy, eV per atom: -2.31
Magnetic moment, μB per formula unit: 0.00
DOS(E_F), states/eV/f.u.: 5.286


(5)
First-principles (PBE) data for Ac3Ti5Te12 after structural relaxation, as listed in the Alexandria database.

a = 17.6583 Å, b = 17.6583 Å, c = 17.6583 Å
α = 90.00°, β = 90.00°, γ = 90.00°
Closest atoms and distances in Å follow each position.
Space group Ia-3d (No. 230)
Symmetry-distinct sites (fractional):
Ac 0.0000 0.2500 0.1250 (multiplicity 24)  8 Te 3.46
Ti 0.0000 0.0000 0.0000 (multiplicity 16)  6 Te 2.85
Ti 0.0000 0.2500 0.3750 (multiplicity 24)  4 Te 2.65
Te 0.0318 0.0577 0.6472 (multiplicity 96)  2 Ti 2.65-2.85

Uncorrected formation energy, eV/f.u.: -17.5
Crystal system: cubic
Electronic total energy, eV per atom: -5.35
Magnetic moment, μB per formula unit: 5.02
DOS(E_F), states/eV/f.u.: 17.920


(6)
First-principles (PBE) data for TiHCl2 after structural relaxation, as listed in the Alexandria database.

a = 5.7779 Å, b = 3.3352 Å, c = 7.3036 Å
α = 90.00°, β = 104.71°, γ = 90.00°
Closest atoms and distances in Å follow each position.
Space group Cm (No. 8)
Symmetry-distinct sites (fractional):
Ti 0.0000 0.0000 0.0000 (multiplicity 2)  3 H 1.93
H 0.3334 0.0000 0.9999 (multiplicity 2)  3 Ti 1.93
Cl 0.0887 0.5000 0.7565 (multiplicity 2)  3 H 2.58, 3 Ti 2.58
Cl 0.2448 0.5000 0.2434 (multiplicity 2)  3 Ti 2.58, 3 H 2.58

Crystal system: monoclinic
Electronic total energy, eV per atom: -4.76
Magnetic moment, μB per formula unit: 1.01
DOS(E_F), states/eV/f.u.: 2.273


(7)
First-principles (PBE) data for Cs2AgSbO4 after structural relaxation, as listed in the Alexandria database.

a = 6.0148 Å, b = 13.0645 Å, c = 21.2476 Å
α = 90.00°, β = 90.00°, γ = 90.00°
Closest atoms and distances in Å follow each position.
Space group Fddd (No. 70, origin choice 2)
Symmetry-distinct sites (fractional):
Cs 0.1250 0.1250 0.3012 (multiplicity 16)  6 O 3.33-3.51
Ag 0.1250 0.1250 0.1250 (multiplicity 8)  4 O 2.37
Sb 0.1250 0.1250 0.6250 (multiplicity 8)  4 O 1.92
O 0.0720 0.2867 0.8288 (multiplicity 32)  1 Sb 1.92

Uncorrected formation energy, eV/f.u.: -9.0
Crystal system: orthorhombic
Electronic total energy, eV per atom: -4.69
Magnetic moment, μB per formula unit: 0.00


(8)
First-principles (PBE) data for BaCuP after structural relaxation, as listed in the Alexandria database.

a = 4.2194 Å, b = 4.2194 Å, c = 9.2540 Å
α = 90.00°, β = 90.00°, γ = 120.00°
Closest atoms and distances in Å follow each position.
Space group P6_3/mmc (No. 194)
Symmetry-distinct sites (fractional):
Ba 0.0000 0.0000 0.0000 (multiplicity 2)  6 Cu 3.36, 6 P 3.36
Cu 0.3333 0.6667 0.2500 (multiplicity 2)  3 P 2.44
P 0.3333 0.6667 0.7500 (multiplicity 2)  3 Cu 2.44

Formation energy, eV per atom: -0.73
Crystal system: hexagonal
Electronic total energy, eV per atom: -4.54
Magnetic moment, μB per formula unit: 0.00
DOS(E_F), states/eV/f.u.: 0.332


(9)
First-principles (PBE) data for IBrO3 after structural relaxation, as listed in the Alexandria database.

a = 4.0625 Å, b = 4.4831 Å, c = 6.2401 Å
α = 72.41°, β = 87.67°, γ = 86.01°
Closest atoms and distances in Å follow each position.
Space group P1 (No. 1)
Symmetry-distinct sites (fractional):
I 0.0000 0.0000 0.0000 (multiplicity 1)  3 O 1.79-1.91
Br 0.7095 0.5395 0.5016 (multiplicity 1)  2 O 2.03-2.14
O 0.0969 0.6014 0.0044 (multiplicity 1)  1 I 1.79
O 0.6730 0.1261 0.7828 (multiplicity 1)  1 I 1.87
O 0.6826 0.9408 0.2408 (multiplicity 1)  1 I 1.91, 1 Br 2.03

Uncorrected formation energy, eV/f.u.: -0.4
Crystal system: triclinic
Electronic total energy, eV per atom: -3.69
Magnetic moment, μB per formula unit: 0.00


(10)
First-principles (PBE) data for VPb2Cl after structural relaxation, as listed in the Alexandria database.

a = 4.3281 Å, b = 4.3281 Å, c = 23.4234 Å
α = 90.00°, β = 90.00°, γ = 90.00°
Closest atoms and distances in Å follow each position.
Space group I-42d (No. 122)
Symmetry-distinct sites (fractional):
V 0.0000 0.0000 0.0000 (multiplicity 4)  4 Cl 3.06, 4 Pb 3.30
Pb 0.2440 0.2500 0.1250 (multiplicity 8)  4 Pb 3.02-3.10, 2 V 3.30, 2 Cl 3.31
Cl 0.0000 0.0000 0.5000 (multiplicity 4)  4 V 3.06, 4 Pb 3.31

Uncorrected formation energy, eV/f.u.: 1.7
Crystal system: tetragonal
Electronic total energy, eV per atom: -4.18
Magnetic moment, μB per formula unit: 3.46
DOS(E_F), states/eV/f.u.: 5.040


(11)
First-principles (PBE) data for AcNd5Sn3 after structural relaxation, as listed in the Alexandria database.

a = 9.7236 Å, b = 9.7236 Å, c = 6.8942 Å
α = 90.00°, β = 90.00°, γ = 120.00°
Closest atoms and distances in Å follow each position.
Space group P6_3/mcm (No. 193)
Symmetry-distinct sites (fractional):
Ac 0.0000 0.0000 0.0000 (multiplicity 2)  2 Ac 3.45, 6 Nd 3.69, 6 Sn 3.70
Nd 0.0000 0.3351 0.2500 (multiplicity 6)  5 Sn 3.19-3.45
Nd 0.3333 0.6667 0.0000 (multiplicity 4)  8 Nd 3.45-3.66, 6 Sn 3.66
Sn 0.0000 0.3369 0.7500 (multiplicity 6)  5 Nd 3.19-3.45

Formation energy, eV per atom: -0.55
Crystal system: hexagonal
Electronic total energy, eV per atom: -4.99
Magnetic moment, μB per formula unit: 2.63
DOS(E_F), states/eV/f.u.: 9.392


(12)
First-principles (PBE) data for La7Sm2Tm2 after structural relaxation, as listed in the Alexandria database.

a = 11.6011 Å, b = 11.6126 Å, c = 6.2087 Å
α = 90.00°, β = 111.58°, γ = 90.00°
Closest atoms and distances in Å follow each position.
Space group C2/m (No. 12)
Symmetry-distinct sites (fractional):
La 0.0000 0.0000 0.0000 (multiplicity 2)  4 La 3.37, 2 Sm 3.65
La 0.0735 0.5000 0.8003 (multiplicity 4)  6 La 3.48-3.85, 2 Sm 3.62-3.76, 2 Tm 3.76
La 0.1855 0.2317 0.1821 (multiplicity 8)  2 La 3.16-3.37, 1 Sm 3.41, 2 Tm 3.42-3.51
Sm 0.2256 0.0000 0.5939 (multiplicity 4)  7 La 3.41-3.76, 2 Tm 3.49
Tm 0.0000 0.2133 0.5000 (multiplicity 4)  6 La 3.42-3.76, 2 Sm 3.49

Formation energy, eV per atom: 0.11
Crystal system: monoclinic
Electronic total energy, eV per atom: -4.69
Magnetic moment, μB per formula unit: 0.00
DOS(E_F), states/eV/f.u.: 16.876


(13)
First-principles (PBE) data for RbCdCoSn2 after structural relaxation, as listed in the Alexandria database.

a = 4.8955 Å, b = 4.8955 Å, c = 6.4647 Å
α = 90.00°, β = 90.00°, γ = 90.00°
Closest atoms and distances in Å follow each position.
Space group P4/mmm (No. 123)
Symmetry-distinct sites (fractional):
Rb 0.0000 0.0000 0.0000 (multiplicity 1)  2 Co 3.23, 4 Cd 3.46
Cd 0.5000 0.5000 0.0000 (multiplicity 1)  4 Rb 3.46
Co 0.0000 0.0000 0.5000 (multiplicity 1)  4 Sn 2.45
Sn 0.0000 0.5000 0.5000 (multiplicity 2)  2 Co 2.45

Formation energy, eV per atom: 0.19
Crystal system: tetragonal
Electronic total energy, eV per atom: -3.21
Magnetic moment, μB per formula unit: 0.00
DOS(E_F), states/eV/f.u.: 1.756


(14)
First-principles (PBE) data for Zn2RuBr after structural relaxation, as listed in the Alexandria database.

a = 6.4242 Å, b = 6.4242 Å, c = 6.4242 Å
α = 90.00°, β = 90.00°, γ = 90.00°
Closest atoms and distances in Å follow each position.
Space group F-43m (No. 216)
Symmetry-distinct sites (fractional):
Zn 0.0000 0.0000 0.0000 (multiplicity 4)  4 Br 2.78, 4 Zn 2.78
Zn 0.2500 0.2500 0.2500 (multiplicity 4)  4 Ru 2.78, 4 Zn 2.78
Ru 0.0000 0.0000 0.5000 (multiplicity 4)  4 Br 2.78, 4 Zn 2.78
Br 0.2500 0.2500 0.7500 (multiplicity 4)  4 Ru 2.78, 4 Zn 2.78

Uncorrected formation energy, eV/f.u.: 2.4
Crystal system: cubic
Electronic total energy, eV per atom: -2.78
Magnetic moment, μB per formula unit: 0.74
DOS(E_F), states/eV/f.u.: 4.244


(15)
First-principles (PBE) data for Th4Ru2Pb5 after structural relaxation, as listed in the Alexandria database.

a = 8.2401 Å, b = 3.7968 Å, c = 9.8517 Å
α = 90.00°, β = 93.59°, γ = 90.00°
Closest atoms and distances in Å follow each position.
Space group P2/m (No. 10)
Symmetry-distinct sites (fractional):
Th 0.1954 0.0000 0.3375 (multiplicity 2)  2 Ru 2.83
Th 0.2049 0.0000 0.9347 (multiplicity 2)  4 Ru 2.92-3.17
Ru 0.0967 0.5000 0.1352 (multiplicity 2)  6 Th 2.83-3.17, 1 Ru 3.02, 2 Pb 3.03-3.10
Pb 0.1454 0.5000 0.6368 (multiplicity 2)  1 Ru 3.10, 1 Pb 3.29, 2 Th 3.41
Pb 0.4644 0.5000 0.1641 (multiplicity 2)  1 Ru 3.03, 2 Pb 3.30-3.32
Pb 0.5000 0.5000 0.5000 (multiplicity 1)  4 Pb 3.29-3.30, 4 Th 3.46

Formation energy, eV per atom: -0.37
Crystal system: monoclinic
Electronic total energy, eV per atom: -6.44
Magnetic moment, μB per formula unit: 0.00
DOS(E_F), states/eV/f.u.: 7.916


(16)
First-principles (PBE) data for ZnRuCl2 after structural relaxation, as listed in the Alexandria database.

a = 3.3776 Å, b = 3.3776 Å, c = 24.1741 Å
α = 90.00°, β = 90.00°, γ = 120.00°
Closest atoms and distances in Å follow each position.
Space group R3m (No. 160, hexagonal axes)
Symmetry-distinct sites (fractional):
Zn 0.0000 0.0000 0.0000 (multiplicity 3)  3 Cl 2.48
Ru 0.0000 0.0000 0.7489 (multiplicity 3)  3 Cl 2.29
Cl 0.0000 0.0000 0.2702 (multiplicity 3)  3 Zn 2.48
Cl 0.0000 0.0000 0.4648 (multiplicity 3)  3 Ru 2.29

Uncorrected formation energy, eV/f.u.: -1.1
Crystal system: trigonal
Electronic total energy, eV per atom: -3.83
Magnetic moment, μB per formula unit: 0.00


(17)
First-principles (PBE) data for Tb5In4Pd2 after structural relaxation, as listed in the Alexandria database.

a = 8.1044 Å, b = 18.3260 Å, c = 3.6744 Å
α = 90.00°, β = 90.00°, γ = 90.00°
Closest atoms and distances in Å follow each position.
Space group Pbam (No. 55)
Symmetry-distinct sites (fractional):
Tb 0.0000 0.0000 0.0000 (multiplicity 2)  8 In 3.24-3.35, 2 Tb 3.45
Tb 0.1176 0.4169 0.0000 (multiplicity 4)  2 Pd 2.86
Tb 0.2435 0.2193 0.0000 (multiplicity 4)  4 Pd 2.98
In 0.0761 0.8506 0.5000 (multiplicity 4)  1 Pd 2.96
In 0.2093 0.5683 0.5000 (multiplicity 4)  1 Pd 3.02, 6 Tb 3.23-3.34, 1 In 3.32
Pd 0.0274 0.3041 0.5000 (multiplicity 4)  6 Tb 2.86-2.98, 2 In 2.96-3.02

Formation energy, eV per atom: -0.69
Crystal system: orthorhombic
Electronic total energy, eV per atom: -4.73
Magnetic moment, μB per formula unit: 0.00
DOS(E_F), states/eV/f.u.: 7.000


(18)
First-principles (PBE) data for Rb2TaCdI6 after structural relaxation, as listed in the Alexandria database.

a = 8.7479 Å, b = 8.7479 Å, c = 12.4069 Å
α = 90.00°, β = 90.00°, γ = 90.00°
Closest atoms and distances in Å follow each position.
Space group I4/mmm (No. 139)
Symmetry-distinct sites (fractional):
Rb 0.0000 0.5000 0.2500 (multiplicity 4)  12 I 4.38-4.39
Ta 0.0000 0.0000 0.0000 (multiplicity 2)  6 I 2.82
Cd 0.0000 0.0000 0.5000 (multiplicity 2)  6 I 3.36-3.38
I 0.0000 0.0000 0.2274 (multiplicity 4)  1 Ta 2.82
I 0.2281 0.2281 0.0000 (multiplicity 8)  1 Ta 2.82

Uncorrected formation energy, eV/f.u.: -6.7
Crystal system: tetragonal
Electronic total energy, eV per atom: -3.07
Magnetic moment, μB per formula unit: 1.06
DOS(E_F), states/eV/f.u.: 9.235


(19)
First-principles (PBE) data for MnSnI3 after structural relaxation, as listed in the Alexandria database.

a = 5.9428 Å, b = 5.9428 Å, c = 5.9428 Å
α = 90.00°, β = 90.00°, γ = 90.00°
Closest atoms and distances in Å follow each position.
Space group Pm-3m (No. 221)
Symmetry-distinct sites (fractional):
Mn 0.0000 0.0000 0.0000 (multiplicity 1)  12 I 4.20
Sn 0.5000 0.5000 0.5000 (multiplicity 1)  6 I 2.97
I 0.0000 0.5000 0.5000 (multiplicity 3)  2 Sn 2.97

Uncorrected formation energy, eV/f.u.: 1.3
Crystal system: cubic
Electronic total energy, eV per atom: -3.31
Magnetic moment, μB per formula unit: 5.92
DOS(E_F), states/eV/f.u.: 14.373


(20)
First-principles (PBE) data for MgNiSb after structural relaxation, as listed in the Alexandria database.

a = 6.0850 Å, b = 6.0850 Å, c = 6.0850 Å
α = 90.00°, β = 90.00°, γ = 90.00°
Closest atoms and distances in Å follow each position.
Space group F-43m (No. 216)
Symmetry-distinct sites (fractional):
Mg 0.0000 0.0000 0.0000 (multiplicity 4)  4 Ni 2.63
Ni 0.2500 0.2500 0.7500 (multiplicity 4)  4 Mg 2.63, 4 Sb 2.63
Sb 0.0000 0.0000 0.5000 (multiplicity 4)  4 Ni 2.63

Uncorrected formation energy, eV/f.u.: -1.2
Crystal system: cubic
Electronic total energy, eV per atom: -4.24
Magnetic moment, μB per formula unit: 0.00
DOS(E_F), states/eV/f.u.: 1.843